(1)
A relaxed structure of AcLa2TbSe6. Source: Alexandria via LeMat-Bulk, functional PBE-GGA.

Unit cell a=7.617 b=7.617 c=7.980 alpha=61.48 beta=61.48 gamma=60.00
Fractional positions:
Se: 0.708 0.136 0.754
Se: 0.935 0.602 0.250
Se: 0.402 0.708 0.754
Se: 0.136 0.402 0.754
Se: 0.602 0.213 0.250
Se: 0.213 0.935 0.250
Tb: 0.318 0.318 0.047
La: 0.016 0.016 0.951
La: 0.522 0.522 0.433
Ac: 0.809 0.809 0.572

Output
ΔE_f (raw) in eV/atom: -1.9400
VASP energy in Ry per atom: -0.43292
DOS(E_F) in states/eV/atom: 0.00
Magnetic moment in Bohr magnetons per cell: 0.0
SG: R3, No. 146

(2)
A relaxed structure of AcLa2TbSe5. Source: Alexandria via LeMat-Bulk, functional PBE-GGA.

Unit cell a=5.182 b=5.182 c=11.399 alpha=90.00 beta=90.00 gamma=90.00
Last column: magnetic moment on the atom in μB.
Fractional positions:
Se: 0.000 0.000 0.745  0.00
Se: 0.500 0.000 0.500  -0.01
Se: 0.000 0.000 0.255  0.00
Se: 0.000 0.500 0.500  -0.01
Se: 0.500 0.500 0.000  0.01
Ac: 0.000 0.000 0.000  0.01
La: 0.500 0.500 0.335  0.30
La: 0.500 0.500 0.665  0.30
Tb: 0.000 0.000 0.500  0.04

Output
ΔE_f (raw) in eV/atom: -1.4884
VASP energy in Ry per atom: -0.40352
DOS(E_F) in states/eV/atom: 0.39
Magnetic moment in Bohr magnetons per cell: 1.2
SG: P4/mmm, No. 123

(3)
A relaxed structure of AcLaTb2Se4. Source: Alexandria via LeMat-Bulk, functional PBE-GGA.

Unit cell a=4.159 b=7.555 c=7.248 alpha=71.51 beta=90.00 gamma=90.00
Fractional positions:
Se: 0.500 0.229 0.754
Se: 0.500 0.771 0.246
Se: 0.000 0.775 0.738
Se: 0.000 0.225 0.262
Tb: 0.500 0.000 0.500
Tb: 0.000 0.000 0.000
Ac: 0.500 0.500 0.000
La: 0.000 0.500 0.500

Output
ΔE_f (raw) in eV/atom: -1.8478
VASP energy in Ry per atom: -0.43196
DOS(E_F) in states/eV/atom: 0.55
Magnetic moment in Bohr magnetons per cell: 0.0
SG: P2/m, No. 10

(4)
A relaxed structure of Ac2LaTbSe6. Source: Alexandria via LeMat-Bulk, functional PBE-GGA.

Unit cell a=7.302 b=8.014 c=10.789 alpha=90.00 beta=90.85 gamma=90.00
Fractional positions:
Se: 0.643 0.053 0.257
Se: 0.684 0.317 0.928
Se: 0.173 0.191 0.072
Se: 0.327 0.691 0.428
Se: 0.357 0.947 0.743
Se: 0.316 0.683 0.072
Se: 0.673 0.309 0.572
Se: 0.184 0.183 0.428
Se: 0.816 0.817 0.572
Se: 0.857 0.553 0.243
Se: 0.143 0.447 0.757
Se: 0.827 0.809 0.928
Ac: 0.537 0.594 0.748
Ac: 0.963 0.094 0.752
Ac: 0.463 0.406 0.252
Ac: 0.037 0.906 0.248
Tb: 0.500 0.000 0.500
Tb: 0.000 0.500 0.000
La: 0.500 0.000 0.000
La: 0.000 0.500 0.500

Output
ΔE_f (raw) in eV/atom: -1.9774
VASP energy in Ry per atom: -0.42964
DOS(E_F) in states/eV/atom: 0.00
Magnetic moment in Bohr magnetons per cell: 0.0
SG: P2_1/c, No. 14

(5)
A relaxed structure of Ac4LaTb3Se8. Source: Alexandria via LeMat-Bulk, functional PBE-GGA.

Unit cell a=8.502 b=8.740 c=8.502 alpha=119.11 beta=120.00 gamma=90.00
Fractional positions:
Tb: 0.000 0.500 0.500
Tb: 0.500 0.500 0.500
Tb: 0.500 0.500 0.000
Ac: 0.000 0.000 0.500
Ac: 0.500 0.000 0.500
Ac: 0.000 0.000 0.000
Ac: 0.500 0.000 0.000
Se: 0.266 0.273 0.020
Se: 0.754 0.273 0.507
Se: 0.754 0.273 0.020
Se: 0.741 0.722 0.481
Se: 0.734 0.727 0.980
Se: 0.259 0.278 0.519
Se: 0.246 0.727 0.493
Se: 0.246 0.727 0.980
La: 0.000 0.500 0.000

Output
ΔE_f (raw) in eV/atom: -1.8332
VASP energy in Ry per atom: -0.42472
DOS(E_F) in states/eV/atom: 0.55
Magnetic moment in Bohr magnetons per cell: 0.0
SG: R-3m, No. 166

(6)
A relaxed structure of AcLa4Tb3Se8. Source: Alexandria via LeMat-Bulk, functional PBE-GGA.

Unit cell a=8.504 b=8.521 c=8.504 alpha=119.94 beta=120.00 gamma=90.00
Fractional positions:
Se: 0.747 0.259 0.493
Se: 0.253 0.741 0.987
Se: 0.747 0.259 0.013
Se: 0.744 0.733 0.489
Se: 0.734 0.741 0.987
Se: 0.256 0.267 0.511
Se: 0.266 0.259 0.013
Se: 0.253 0.741 0.507
Tb: 0.500 0.500 0.500
Tb: 0.000 0.500 0.500
Tb: 0.500 0.500 0.000
La: 0.000 0.000 0.500
La: 0.500 0.000 0.500
La: 0.500 0.000 0.000
La: 0.000 0.000 0.000
Ac: 0.000 0.500 0.000

Output
ΔE_f (raw) in eV/atom: -1.8826
VASP energy in Ry per atom: -0.43964
DOS(E_F) in states/eV/atom: 0.64
Magnetic moment in Bohr magnetons per cell: 0.0
SG: R-3m, No. 166